TbCe2Nd3Ho6 after structural relaxation. Source: Alexandria, functional PBE-GGA.

Lattice parameters (Å, degrees): 6.1825 6.1825 11.7403 95.03 95.03 119.99
Closest atoms and distances in Å follow each position.
Element x y z (fractional)
Tb (0.0000, 0.0000, 0.0000)  6 Ho 3.52, 6 Ce 3.57
Ce (0.3335, 0.6665, 0.0000)  6 Ho 3.51, 3 Ce 3.57, 3 Tb 3.57
Ce (0.6665, 0.3335, 0.0000)  6 Ho 3.51, 3 Ce 3.57, 3 Tb 3.57
Nd (0.1660, 0.8340, 0.5000)  6 Nd 3.56-3.58, 6 Ho 3.58-3.59
Nd (0.8340, 0.1660, 0.5000)  6 Nd 3.56-3.58, 6 Ho 3.58-3.59
Nd (0.5000, 0.5000, 0.5000)  6 Nd 3.57-3.58, 6 Ho 3.58-3.59
Ho (0.9177, 0.5823, 0.7541)  2 Ce 3.51, 1 Tb 3.52, 6 Ho 3.56-3.59, 3 Nd 3.58-3.59
Ho (0.7467, 0.7467, 0.2460)  2 Ce 3.51, 1 Tb 3.52, 6 Ho 3.56-3.59, 3 Nd 3.58-3.59
Ho (0.0823, 0.4177, 0.2459)  2 Ce 3.51, 1 Tb 3.52, 6 Ho 3.56-3.59, 3 Nd 3.58-3.59
Ho (0.5823, 0.9177, 0.7541)  2 Ce 3.51, 1 Tb 3.52, 6 Ho 3.56-3.59, 3 Nd 3.58-3.59
Ho (0.2533, 0.2533, 0.7540)  2 Ce 3.51, 1 Tb 3.52, 6 Ho 3.56-3.59, 3 Nd 3.58-3.59
Ho (0.4177, 0.0823, 0.2459)  2 Ce 3.51, 1 Tb 3.52, 6 Ho 3.56-3.59, 3 Nd 3.58-3.59

Values from the calculation:
E_tot	-4.811	eV/atom

***

KRb2TiCo after structural relaxation. Source: Alexandria, functional PBE-GGA.

Lattice parameters (Å, degrees): 6.9167 6.9167 6.7026 90.00 90.00 90.00
Closest atoms and distances in Å follow each position.
Element x y z (fractional)
K (0.0000, 0.0000, 0.5000)  2 Ti 3.35
Co (0.5000, 0.5000, 0.5000)  8 Rb 4.82, 4 K 4.89
Rb (0.0000, 0.5000, 0.0000)  2 Ti 3.46
Rb (0.5000, 0.0000, 0.0000)  2 Ti 3.46
Ti (0.0000, 0.0000, 0.0000)  2 K 3.35, 4 Rb 3.46

Values from the calculation:
E_tot	-2.037	eV/atom

***

Mg2Al3 after structural relaxation. Source: Alexandria, functional PBE-GGA.

Lattice parameters (Å, degrees): 5.4670 5.4670 8.9332 115.65 115.65 65.50
Closest atoms and distances in Å follow each position.
Element x y z (fractional)
Mg (0.7500, 0.2500, 0.5000)  8 Al 2.89-2.90, 2 Mg 2.96
Mg (0.2500, 0.7500, 0.5000)  8 Al 2.89-2.90, 2 Mg 2.96
Mg (0.2492, 0.7508, 0.0000)  2 Mg 2.95-2.97, 10 Al 3.03-3.26
Mg (0.7508, 0.2492, 0.0000)  2 Mg 2.95-2.97, 10 Al 3.03-3.26
Al (0.1611, 0.1611, 0.8256)  4 Al 2.67-2.96, 2 Mg 2.90
Al (0.3355, 0.3355, 0.1744)  4 Al 2.67-2.96, 2 Mg 2.90
Al (0.8389, 0.8389, 0.1744)  4 Al 2.67-2.96, 2 Mg 2.90
Al (0.6645, 0.6645, 0.8256)  4 Al 2.67-2.96, 2 Mg 2.90
Al (0.8104, 0.8104, 0.6209)  2 Al 2.77, 4 Mg 2.89
Al (0.1896, 0.1896, 0.3791)  2 Al 2.77, 4 Mg 2.89

Values from the calculation:
energy above the lowest structure with this stoichiometry	0.111	eV/atom

***

Sc3P2H after structural relaxation. Source: Alexandria, functional PBE-GGA.

Lattice parameters (Å, degrees): 3.6991 7.2197 14.3490 90.00 90.00 90.00
Closest atoms and distances in Å follow each position.
Element x y z (fractional)
Sc (0.2500, 0.3257, 0.7756)  1 H 2.07
Sc (0.7500, 0.6743, 0.2244)  1 H 2.07
Sc (0.7500, 0.1743, 0.2756)  1 H 2.07
Sc (0.2500, 0.8257, 0.7244)  1 H 2.07
Sc (0.7500, 0.0079, 0.8998)  2 H 2.11
Sc (0.2500, 0.9921, 0.1002)  2 H 2.11
Sc (0.2500, 0.4921, 0.3998)  2 H 2.11
Sc (0.7500, 0.5079, 0.6002)  2 H 2.11
Sc (0.2500, 0.1281, 0.5717)  1 H 2.06
Sc (0.7500, 0.8719, 0.4283)  1 H 2.06
Sc (0.7500, 0.3719, 0.0717)  1 H 2.06
Sc (0.2500, 0.6281, 0.9283)  1 H 2.06
P (0.2500, 0.2493, 0.9588)  7 Sc 2.61-2.77
P (0.7500, 0.7507, 0.0412)  7 Sc 2.61-2.77
P (0.7500, 0.2507, 0.4588)  7 Sc 2.61-2.77
P (0.2500, 0.7493, 0.5412)  7 Sc 2.61-2.77
P (0.7500, 0.0929, 0.7152)  7 Sc 2.65-2.78
P (0.2500, 0.9071, 0.2848)  7 Sc 2.65-2.78
P (0.2500, 0.4071, 0.2152)  7 Sc 2.65-2.78
P (0.7500, 0.5929, 0.7848)  7 Sc 2.65-2.78
H (0.2500, 0.3845, 0.6343)  4 Sc 2.06-2.11
H (0.7500, 0.6155, 0.3657)  4 Sc 2.06-2.11
H (0.7500, 0.1155, 0.1343)  4 Sc 2.06-2.11
H (0.2500, 0.8845, 0.8657)  4 Sc 2.06-2.11

Values from the calculation:
energy above the lowest structure with this stoichiometry	0.000	eV/atom